First-principles (GGA-PBE) data for a geometry-optimized SrMgI4 structure, as listed in Alexandria.

Values from the calculation:
Total moment: 0.000 μB per atom
Symmetry: No. 12
DOS at the Fermi energy: 0.000 states/eV per atom
Total DFT energy (no corrections): -17.6 eV per formula unit

Cell lengths 4.4565, 8.1796, 7.9576 Å; angles 102.53, 90.01, 105.76 degrees
Last column: nearest neighbours and their distance in Å.
Fractional positions:
1 Sr 0.5000 0.0001 0.5000  6 I 3.27-3.29
2 Mg 0.0000 0.9999 0.0000  6 I 2.97-3.02
3 I 0.8837 0.7671 0.6491  1 Mg 2.97, 2 Sr 3.27
4 I 0.1162 0.2329 0.3508  1 Mg 2.97, 2 Sr 3.27
5 I 0.3908 0.7811 0.0952  2 Mg 3.01-3.02, 1 Sr 3.29
6 I 0.6093 0.2188 0.9049  2 Mg 3.02, 1 Sr 3.29